A plane-wave DFT calculation with PBE was carried out for an optimized crystal structure of IrPtRh2.

Cell and atoms, written as extended XYZ:
```
4
Lattice="-9.074 -0.674 0.079 -8.535 -2.069 2.381 -8.738 0.668 2.451" Properties=species:S:1:pos:R:3 pbc="T T T"
Rh -13.246 -1.043 2.469
Rh -26.275 -2.068 4.897
Ir -6.587 -0.519 1.228
Pt -19.761 -1.556 3.683
```

The total energy comes out at -29.740 eV per cell. Its crystal system is trigonal. For the energy above the most stable polymorph in this dataset, the calculation gives 0.03 eV/f.u. As for the total magnetization: 0.00 μB per formula unit. As for the symmetry: No. 166. The value obtained for the formation energy is -0.034 eV per atom.